Pm6Y4Tm: relaxed, PBE.

Computed properties:
Energy of formation from the pure elements ... 0.3090 eV/atom
Energy ... -0.370 Ry per atom
E above lowest polymorph ... 0.192 eV per atom

Cell: 9.656 9.656 9.656 Å, 139.15 139.15 59.15°
Sites, in units of the cell vectors:
Pm (0.000, 0.500, 0.500)
Pm (0.014, 0.636, 0.000)
Pm (0.364, 0.364, 0.378)
Pm (0.500, 0.000, 0.500)
Pm (0.636, 0.014, 0.000)
Pm (0.986, 0.986, 0.622)
Y (0.201, 0.201, 0.645)
Y (0.444, 0.799, 0.000)
Y (0.556, 0.556, 0.355)
Y (0.799, 0.444, 0.000)
Tm (0.000, 0.000, 0.000)